Density functional theory data (PBE) for a relaxed NaCdSe crystal.

Output
Formation energy without anion corrections = -61.9 kJ/mol of atoms
Electronic total energy = -15.3 eV/cell

a = 3.987 Å, b = 5.379 Å, c = 11.301 Å
α = 120.76°, β = 90.00°, γ = 111.75°
Positions (direct):
1 Se 0.792 0.585 0.826
2 Se 0.208 0.415 0.174
3 Na 0.442 0.883 0.101
4 Na 0.558 0.117 0.899
5 Cd 0.876 0.751 0.363
6 Cd 0.124 0.249 0.637



Density functional theory data (PBE) for a relaxed CaAg3Ge crystal.

Output
DFT formation energy = 1003.6 meV per atom
Electronic total energy = -10.2 eV/cell

a = 5.304 Å, b = 5.304 Å, c = 5.304 Å
α = 90.00°, β = 90.00°, γ = 90.00°
Positions (direct):
1 Ge 0.500 0.500 0.500
2 Ca 0.000 0.000 0.000
3 Ag 0.000 0.500 0.000
4 Ag 0.000 0.000 0.500
5 Ag 0.500 0.000 0.000



Density functional theory data (PBE) for a relaxed Hf3Al crystal.

Output
DFT formation energy = -27.4 meV per atom
Electronic total energy = -33.7 eV/cell

a = 4.870 Å, b = 4.870 Å, c = 4.870 Å
α = 60.00°, β = 60.00°, γ = 60.00°
Positions (direct):
1 Hf 0.000 0.000 0.000
2 Hf 0.750 0.750 0.750
3 Hf 0.250 0.250 0.250
4 Al 0.500 0.500 0.500



Density functional theory data (PBE) for a relaxed BaTl6Cd2 crystal.

Output
DFT formation energy = -97.8 meV per atom
Electronic total energy = -18.8 eV/cell

a = 5.118 Å, b = 5.118 Å, c = 10.916 Å
α = 90.00°, β = 90.00°, γ = 90.00°
Positions (direct):
1 Ba 0.000 0.000 0.000
2 Tl 0.000 0.500 0.286
3 Tl 0.500 0.000 0.286
4 Tl 0.000 0.500 0.714
5 Tl 0.500 0.000 0.714
6 Tl 0.500 0.500 0.500
7 Tl 0.000 0.000 0.500
8 Cd 0.500 0.500 0.129
9 Cd 0.500 0.500 0.871